Model w:
# Ni5Ge3 | the Alexandria database | PBE-GGA | relaxed
# Total magnetization, μB/cell: 0.0
# Calculated density, kg/m³: 8711
data_Ni5Ge3
_cell_length_a 6.518
_cell_length_b 7.766
_cell_length_c 3.851
_cell_angle_alpha 90.00
_cell_angle_beta 90.00
_cell_angle_gamma 90.00
_space_group_name_H-M_alt 'C m m m'
_space_group_IT_number 65
_space_group_name_Hall '-C 2 2'
loop_
_atom_site_label
_atom_site_type_symbol
_atom_site_fract_x
_atom_site_fract_y
_atom_site_fract_z
_atom_site_occupancy
Ni1 Ni 0.000 0.000 0.000 1
Ni2 Ni 0.203 0.500 0.500 1
Ni3 Ni 0.250 0.250 0.000 1
Ge1 Ge 0.000 0.200 0.500 1
Ge2 Ge 0.000 0.500 0.000 1

---

Model x:
# Ni5Ge3 | the Alexandria database | PBE-GGA | relaxed
# Total magnetization, μB/cell: 0.0
# Calculated density, kg/m³: 8477
data_Ni5Ge3
_cell_length_a 10.859
_cell_length_b 6.750
_cell_length_c 6.379
_cell_angle_alpha 90.00
_cell_angle_beta 121.01
_cell_angle_gamma 90.00
_space_group_name_H-M_alt 'C 1 2/c 1'
_space_group_IT_number 15
loop_
_space_group_symop_operation_xyz
'x,y,z'
'-x,-y,-z'
'-x,y,-z+1/2'
'x,-y,z+1/2'
'x+1/2,y+1/2,z'
'-x+1/2,-y+1/2,-z'
'-x+1/2,y+1/2,-z+1/2'
'x+1/2,-y+1/2,z+1/2'
loop_
_atom_site_label
_atom_site_type_symbol
_atom_site_fract_x
_atom_site_fract_y
_atom_site_fract_z
_atom_site_occupancy
Ni1 Ni 0.073 0.244 0.147 1
Ni2 Ni 0.173 0.414 0.586 1
Ni3 Ni 0.250 0.250 0.000 1
Ge1 Ge 0.000 0.394 0.750 1
Ge2 Ge 0.150 0.066 0.547 1

---

Unit: meV/atom. Relative energies: model w 82; model x 0.

---

Model w:
# Ni7Ge | the Alexandria database | PBE-GGA | relaxed
# Total magnetization, μB/cell: 2.4
# Calculated density, kg/m³: 8993
data_Ni7Ge
_cell_length_a 5.0118
_cell_length_b 5.0118
_cell_length_c 4.1041
_cell_angle_alpha 90.00
_cell_angle_beta 90.00
_cell_angle_gamma 120.00
_space_group_name_H-M_alt 'P -6 m 2'
_space_group_IT_number 187
_space_group_name_Hall 'P -6 2'
loop_
_atom_site_label
_atom_site_type_symbol
_atom_site_fract_x
_atom_site_fract_y
_atom_site_fract_z
_atom_site_occupancy
Ni1 Ni 0.0000 0.0000 0.0000 1
Ni2 Ni 0.0045 0.5023 0.0000 1
Ni3 Ni 0.1656 0.3311 0.5000 1
Ge1 Ge 0.6667 0.3333 0.5000 1

---

Model x:
# Ni7Ge | the Alexandria database | PBE-GGA | relaxed
# Total magnetization, μB/cell: 10.7
# Calculated density, kg/m³: 8987
data_Ni7Ge
_cell_length_a 7.096
_cell_length_b 7.096
_cell_length_c 7.096
_cell_angle_alpha 90.00
_cell_angle_beta 90.00
_cell_angle_gamma 90.00
_space_group_name_H-M_alt 'F m -3 m'
_space_group_IT_number 225
_space_group_name_Hall '-F 4 2 3'
loop_
_atom_site_label
_atom_site_type_symbol
_atom_site_fract_x
_atom_site_fract_y
_atom_site_fract_z
_atom_site_occupancy
Ni1 Ni 0.000 0.000 0.000 1
Ni2 Ni 0.000 0.250 0.250 1
Ge1 Ge 0.000 0.000 0.500 1

---

Unit: meV/atom. Relative energies: model w 17; model x 0.

---

Model w:
# Np2Ni5Ge3 | the Alexandria database | PBE-GGA | relaxed
# Total magnetization, μB/cell: 28.8
# Calculated density, kg/m³: 10600
data_Np2Ni5Ge3
_cell_length_a 4.040
_cell_length_b 22.642
_cell_length_c 6.751
_cell_angle_alpha 90.00
_cell_angle_beta 90.00
_cell_angle_gamma 90.00
_space_group_name_H-M_alt 'C m c 21'
_space_group_IT_number 36
loop_
_space_group_symop_operation_xyz
'x,y,z'
'-x,-y,z+1/2'
'-x,y,z'
'x,-y,z+1/2'
'x+1/2,y+1/2,z'
'-x+1/2,-y+1/2,z+1/2'
'-x+1/2,y+1/2,z'
'x+1/2,-y+1/2,z+1/2'
loop_
_atom_site_label
_atom_site_type_symbol
_atom_site_fract_x
_atom_site_fract_y
_atom_site_fract_z
_atom_site_occupancy
Np1 Np 0.000 0.001 0.000 1
Np2 Np 0.000 0.332 0.978 1
Ni1 Ni 0.000 0.120 0.810 1
Ni2 Ni 0.000 0.205 0.094 1
Ni3 Ni 0.000 0.230 0.712 1
Ni4 Ni 0.000 0.373 0.531 1
Ni5 Ni 0.000 0.455 0.784 1
Ge1 Ge 0.000 0.110 0.233 1
Ge2 Ge 0.000 0.274 0.395 1
Ge3 Ge 0.000 0.435 0.232 1

---

Model x:
# Np2Ni5Ge3 | the Alexandria database | PBE-GGA | relaxed
# Total magnetization, μB/cell: 29.6
# Calculated density, kg/m³: 10446
data_Np2Ni5Ge3
_cell_length_a 10.373
_cell_length_b 10.731
_cell_length_c 5.629
_cell_angle_alpha 90.00
_cell_angle_beta 90.00
_cell_angle_gamma 90.00
_space_group_name_H-M_alt 'I b a m'
_space_group_IT_number 72
_space_group_name_Hall '-I 2 2c'
loop_
_atom_site_label
_atom_site_type_symbol
_atom_site_fract_x
_atom_site_fract_y
_atom_site_fract_z
_atom_site_occupancy
Np1 Np 0.238 0.125 0.000 1
Ni1 Ni 0.000 0.000 0.250 1
Ni2 Ni 0.000 0.268 0.250 1
Ni3 Ni 0.156 0.387 0.000 1
Ge1 Ge 0.000 0.500 0.250 1
Ge2 Ge 0.118 0.134 0.500 1

---

Unit: meV/atom. Relative energies: model w 6; model x 0.